Entry 1:
This record from the Alexandria database describes an optimized crystal structure of MgAs. The functional is PBE.

- Energy relative to the elements: -0.48 eV per formula unit
- Energy above the lowest structure with this stoichiometry: 0.180 eV/atom
- E_tot: -3.3601 eV/atom
- DOS at the Fermi energy: 0.461 states/eV per atom

Cell lengths 4.2386, 4.9093, 3.7827 Å; angles 90.00, 90.00, 90.00 degrees
Closest atoms and distances in Å follow each position.
Space group Cmmm (No. 65)
One atom of each set of equivalent atoms:
Mg: 0.0000 0.0000 0.0000 x2  8 As 2.84-3.10
As: 0.0000 0.5000 0.5000 x2  8 Mg 2.84-3.10

Entry 2:
This record from the Alexandria database describes an optimized crystal structure of BaLa2Te2. The functional is PBE.

- Energy above the lowest structure with this stoichiometry: 0.000 eV/atom
- Formation energy (no corrections): -1.175 eV per atom
- E_tot: -4.7874 eV/atom
- DOS at the Fermi energy: 0.445 states/eV per atom

Cell lengths 9.0483, 9.0483, 4.1909 Å; angles 90.00, 90.00, 90.00 degrees
Closest atoms and distances in Å follow each position.
Space group P4/mbm (No. 127)
One atom of each set of equivalent atoms:
Ba: 0.0000 0.0000 0.0000 x2  4 Te 3.48
La: 0.1534 0.3466 0.5000 x4  6 Te 3.35-3.40
Te: 0.1423 0.6423 0.0000 x4  6 La 3.35-3.40, 2 Ba 3.48, 1 Te 3.64

Entry 3:
This record from the Alexandria database describes an optimized crystal structure of Ti2Ge2Pt. The functional is PBE.

- Energy relative to the elements: -3.28 eV per formula unit
- E_tot: -6.8688 eV/atom
- DOS at the Fermi energy: 0.945 states/eV per atom

Cell lengths 6.4594, 6.4594, 3.8375 Å; angles 90.00, 90.00, 90.00 degrees
Closest atoms and distances in Å follow each position.
Space group P4/mbm (No. 127)
One atom of each set of equivalent atoms:
Ti: 0.1687 0.3313 0.0000 x4  6 Ge 2.63-2.75
Ge: 0.1347 0.6347 0.5000 x4  1 Ge 2.46, 2 Pt 2.51, 6 Ti 2.63-2.75
Pt: 0.0000 0.0000 0.5000 x2  4 Ge 2.51

Entry 4:
This record from the Alexandria database describes an optimized crystal structure of SmTiS2. The functional is PBE.

- Formation energy (no corrections): -1.563 eV per atom
- E_tot: -6.7805 eV/atom
- DOS at the Fermi energy: 0.556 states/eV per atom

Cell lengths 3.7727, 3.7727, 18.3380 Å; angles 90.00, 90.00, 120.00 degrees
Closest atoms and distances in Å follow each position.
Space group R-3m (No. 166, hexagonal axes)
One atom of each set of equivalent atoms:
Sm: 0.0000 0.0000 0.0000 x3  6 S 2.79
Ti: 0.0000 0.0000 0.5000 x3  6 S 2.54
S: 0.0000 0.0000 0.2383 x6  3 Ti 2.54, 3 Sm 2.79

Entry 5:
This record from the Alexandria database describes an optimized crystal structure of Pr6Sb2Se3I. The functional is PBE.

- Formation energy (no corrections): -1.481 eV per atom
- E_tot: -5.5578 eV/atom
- DOS at the Fermi energy: 0.462 states/eV per atom

Cell lengths 19.3273, 4.4039, 8.8823 Å; angles 90.00, 103.63, 90.00 degrees
Closest atoms and distances in Å follow each position.
Space group C2/m (No. 12)
One atom of each set of equivalent atoms:
Pr: 0.0025 0.0000 0.2171 x4  3 Se 2.92-3.01, 1 Sb 3.16
Pr: 0.1647 0.5000 0.0908 x4  3 Se 3.09, 3 Sb 3.20
Pr: 0.1806 0.5000 0.5809 x4  3 Se 2.95-3.08, 2 Sb 3.18
Sb: 0.1648 0.0000 0.8291 x4  6 Pr 3.16-3.20
Se: 0.0000 0.5000 0.0000 x2  6 Pr 2.92-3.09
Se: 0.1622 0.0000 0.3329 x4  6 Pr 2.95-3.09
I: 0.0000 0.5000 0.5000 x2  6 Pr 3.35-3.39

Entry 6:
This record from the Alexandria database describes an optimized crystal structure of BaTa2W. The functional is PBE.

- Energy relative to the elements: 6.37 eV per formula unit
- Energy above the lowest structure with this stoichiometry: 0.996 eV/atom
- E_tot: -8.0520 eV/atom
- DOS at the Fermi energy: 1.806 states/eV per atom

Cell lengths 5.3577, 5.3577, 17.7343 Å; angles 90.00, 90.00, 90.00 degrees
Closest atoms and distances in Å follow each position.
Space group I4_1/amd (No. 141, origin choice 2)
One atom of each set of equivalent atoms:
Ba: 0.0000 0.2500 0.3750 x4  8 Ta 3.73, 4 W 3.79
Ta: 0.0000 0.0000 0.0000 x8  2 W 2.59, 2 Ta 2.68
W: 0.0000 0.2500 0.8750 x4  4 Ta 2.59

Entry 7:
This record from the Alexandria database describes an optimized crystal structure of Ga2HBrF. The functional is PBE.

- E_tot: -2.8398 eV/atom
- DOS at the Fermi energy: 0.118 states/eV per atom

Cell lengths 4.8309, 4.8309, 4.0886 Å; angles 90.00, 90.00, 90.00 degrees
Closest atoms and distances in Å follow each position.
Space group P4/mmm (No. 123)
One atom of each set of equivalent atoms:
Ga: 0.0000 0.5000 0.0000 x2  2 H 2.42
H: 0.0000 0.0000 0.0000 x1  2 Br 2.04
Br: 0.0000 0.0000 0.5000 x1  2 H 2.04
F: 0.5000 0.5000 0.5000 x1  8 Ga 3.16, 4 Br 3.42

Entry 8:
This record from the Alexandria database describes an optimized crystal structure of DyAlZn2. The functional is PBE.

- Energy relative to the elements: -1.15 eV per formula unit
- Energy above the lowest structure with this stoichiometry: 0.116 eV/atom
- E_tot: -3.0117 eV/atom
- DOS at the Fermi energy: 0.408 states/eV per atom

Cell lengths 4.3423, 4.3423, 4.0772 Å; angles 90.00, 90.00, 90.00 degrees
Closest atoms and distances in Å follow each position.
Space group P4/mmm (No. 123)
One atom of each set of equivalent atoms:
Dy: 0.0000 0.0000 0.0000 x1  8 Zn 2.98, 4 Al 3.07
Al: 0.5000 0.5000 0.0000 x1  8 Zn 2.98, 4 Dy 3.07
Zn: 0.0000 0.5000 0.5000 x2  4 Dy 2.98, 4 Al 2.98, 4 Zn 3.07

Entry 9:
This record from the Alexandria database describes an optimized crystal structure of Tl2ZnCo2. The functional is PBE.

- Energy relative to the elements: 1.77 eV per formula unit
- E_tot: -3.6906 eV/atom
- DOS at the Fermi energy: 0.557 states/eV per atom

Cell lengths 6.4708, 6.4708, 4.0298 Å; angles 90.00, 90.00, 90.00 degrees
Closest atoms and distances in Å follow each position.
Space group P4/mbm (No. 127)
One atom of each set of equivalent atoms:
Tl: 0.1714 0.3286 0.0000 x4  6 Co 2.69-2.83
Zn: 0.0000 0.0000 0.5000 x2  4 Co 2.52
Co: 0.1337 0.6337 0.5000 x4  1 Co 2.45, 2 Zn 2.52, 2 Tl 2.69

Entry 10:
This record from the Alexandria database describes an optimized crystal structure of LaU3Se8. The functional is PBE.

- Formation energy (no corrections): -1.256 eV per atom
- E_tot: -6.8113 eV/atom
- DOS at the Fermi energy: 1.331 states/eV per atom

Cell lengths 8.3562, 8.3562, 13.3031 Å; angles 90.00, 90.00, 120.00 degrees
Closest atoms and distances in Å follow each position.
Space group P6_3mc (No. 186)
One atom of each set of equivalent atoms:
La: 0.3333 0.6667 0.0000 x2  6 Se 2.99-3.03
U: 0.1677 0.3354 0.7285 x6  6 Se 2.80-2.84
Se: 0.0000 0.0000 0.3390 x2  3 U 2.84
Se: 0.0239 0.5120 0.8460 x6  2 U 2.80, 1 La 3.03
Se: 0.1547 0.3094 0.1132 x6  2 U 2.80, 1 La 2.99
Se: 0.3333 0.6667 0.6143 x2  3 U 2.84

Entry 11:
This record from the Alexandria database describes an optimized crystal structure of Li2UMnN4. The functional is PBE.

- Formation energy (no corrections): -0.425 eV per atom
- E_tot: -7.6237 eV/atom
- DOS at the Fermi energy: 0.533 states/eV per atom

Cell lengths 3.2112, 11.1487, 9.4596 Å; angles 90.00, 90.00, 90.00 degrees
Closest atoms and distances in Å follow each position.
Space group Cmcm (No. 63)
One atom of each set of equivalent atoms:
Li: 0.0000 0.1035 0.0411 x8  4 N 1.84-2.01
U: 0.0000 0.4405 0.2500 x4  8 N 2.40-2.46
Mn: 0.0000 0.2970 0.7500 x4  2 N 1.69
N: 0.0000 0.1003 0.2500 x4  2 Mn 1.97, 2 Li 1.98
N: 0.0000 0.1888 0.6256 x8  1 Mn 1.69, 1 Li 1.84
N: 0.0000 0.5000 0.0000 x4  4 Li 2.01

Entry 12:
This record from the Alexandria database describes an optimized crystal structure of HfSb2PI. The functional is PBE.

- Energy above the lowest structure with this stoichiometry: 0.000 eV/atom
- Formation energy (no corrections): 0.673 eV per atom
- E_tot: -4.3587 eV/atom
- DOS at the Fermi energy: 0.786 states/eV per atom

Cell lengths 5.5959, 5.5959, 5.5321 Å; angles 90.00, 90.00, 90.00 degrees
Closest atoms and distances in Å follow each position.
Space group P4/mmm (No. 123)
One atom of each set of equivalent atoms:
Hf: 0.0000 0.0000 0.0000 x1  2 I 2.77, 4 Sb 2.80
Sb: 0.0000 0.5000 0.0000 x2  2 Hf 2.80
P: 0.5000 0.5000 0.5000 x1  8 Sb 3.93, 4 I 3.96
I: 0.0000 0.0000 0.5000 x1  2 Hf 2.77